No. 1
Below is a geometry-optimized BaCr2AsOs structure, with properties calculated at the PBE-GGA level.

Output
E_form   2.689 eV per atom
N(E_F)   4.9 states/eV/cell
Energy   -23.6 eV for the cell shown

Lattice parameters (Å, degrees): 5.389 5.389 5.031 90.00 90.00 90.00
Fractional coordinates of all 5 atoms:
Ba: 0.000 0.000 0.000
Cr: 0.000 0.500 0.000
Cr: 0.500 0.000 0.000
As: 0.500 0.500 0.500
Os: 0.000 0.000 0.500

=====

No. 2
Below is a geometry-optimized RbBaCr2As structure, with properties calculated at the PBE-GGA level.

Output
E_form   1.798 eV per atom
N(E_F)   4.6 states/eV/cell
Energy   -17.8 eV for the cell shown

Lattice parameters (Å, degrees): 5.887 5.887 6.870 90.00 90.00 90.00
Fractional coordinates of all 5 atoms:
Rb: 0.000 0.000 0.000
Ba: 0.000 0.000 0.500
Cr: 0.000 0.500 0.500
Cr: 0.500 0.000 0.500
As: 0.500 0.500 0.000

=====

No. 3
Below is a geometry-optimized BaCr2AsRh structure, with properties calculated at the PBE-GGA level.

Output
E_form   2.040 eV per atom
N(E_F)   3.4 states/eV/cell
Energy   -23.0 eV for the cell shown

Lattice parameters (Å, degrees): 5.596 5.596 4.952 90.00 90.00 90.00
Fractional coordinates of all 5 atoms:
Ba: 0.000 0.000 0.000
Cr: 0.000 0.500 0.000
Cr: 0.500 0.000 0.000
As: 0.500 0.500 0.500
Rh: 0.000 0.000 0.500

=====

No. 4
Below is a geometry-optimized BaCrAs2S8 structure, with properties calculated at the PBE-GGA level.

Output
N(E_F)   9.1 states/eV/cell
Energy   -59.1 eV for the cell shown
Energy relative to the elements, uncorrected   -42.1 kJ per mole of atoms

Lattice parameters (Å, degrees): 6.038 6.038 8.845 90.00 90.00 120.00
Fractional coordinates of all 12 atoms:
Ba: 0.000 0.000 0.000
Cr: 0.000 0.000 0.500
As: 0.333 0.667 0.720
As: 0.667 0.333 0.280
S: 0.022 0.702 0.338
S: 0.298 0.320 0.338
S: 0.320 0.022 0.662
S: 0.333 0.667 0.964
S: 0.667 0.333 0.036
S: 0.680 0.978 0.338
S: 0.702 0.680 0.662
S: 0.978 0.298 0.662

=====

No. 5
Below is a geometry-optimized BaCrAs2S structure, with properties calculated at the PBE-GGA level.

Output
N(E_F)   2.3 states/eV/cell
Energy   -27.6 eV for the cell shown
Energy relative to the elements, uncorrected   -50.4 kJ per mole of atoms

Lattice parameters (Å, degrees): 4.656 4.656 5.512 90.00 90.00 90.00
Fractional coordinates of all 5 atoms:
Ba: 0.000 0.000 0.000
Cr: 0.500 0.500 0.500
As: 0.000 0.500 0.500
As: 0.500 0.000 0.500
S: 0.500 0.500 0.000

=====

No. 6
Below is a geometry-optimized BaCrAsSe2 structure, with properties calculated at the PBE-GGA level.

Output
N(E_F)   6.8 states/eV/cell
Energy   -18.8 eV for the cell shown
Polymorph energy (0 for the lowest one)   709.4 kJ/mol of formula units
Energy relative to the elements, uncorrected   84.8 kJ per mole of atoms

Lattice parameters (Å, degrees): 6.076 6.076 5.798 90.00 90.00 90.00
Fractional coordinates of all 5 atoms:
Ba: 0.000 0.000 0.000
Cr: 0.500 0.500 0.500
As: 0.000 0.000 0.500
Se: 0.000 0.500 0.000
Se: 0.500 0.000 0.000